Below is a geometry-optimized BeCdTe2 structure, with properties calculated at the PBE-GGA level.

## Properties
Formation energy from raw total energies in eV/f.u.: 0.701
Space group: Imm2, No. 44

a = 7.2471 Å, b = 7.2471 Å, c = 7.2471 Å
α = 150.64°, β = 147.57°, γ = 44.31°
Fractional positions:
Te 0.9651 0.9651 0.0000
Te 0.6821 0.1821 0.5000
Cd 0.2987 0.7987 0.5000
Be 0.5540 0.5540 0.0000

Below is a geometry-optimized BeCdTe structure, with properties calculated at the PBE-GGA level.

## Properties
Formation energy from raw total energies in eV/f.u.: 1.331
Space group: Imm2, No. 44

a = 6.6335 Å, b = 6.6335 Å, c = 6.6335 Å
α = 148.91°, β = 153.27°, γ = 41.45°
Fractional positions:
Cd 0.3667 0.3667 0.0000
Be 0.0129 0.0129 0.0000
Te 0.6204 0.6204 0.0000

Look up the formation energy from raw total energies of the second one.
1.331 eV/f.u.